one:
# CaPrNiRh | the Alexandria database | PBE | optimized geometry
# - DOS at the Fermi energy: 1.694 states/eV/f.u.
# - V: 91.09 Å³/f.u.
data_CaPrNiRh
_space_group_name_H-M_alt 'A m m 2'
_space_group_IT_number 38
_space_group_name_Hall 'A 2 -2'
_cell_length_a 4.1607
_cell_length_b 4.0987
_cell_length_c 10.6824
_cell_angle_alpha 90.00
_cell_angle_beta 90.00
_cell_angle_gamma 90.00
loop_
_atom_site_label
_atom_site_type_symbol
_atom_site_fract_x
_atom_site_fract_y
_atom_site_fract_z
Ca1 Ca 0.0000 0.0000 0.0000
Pr1 Pr 0.5000 0.0000 0.7149
Ni1 Ni 0.5000 0.0000 0.4236
Rh1 Rh 0.0000 0.0000 0.2916

two:
# CaPrNiRh | the Alexandria database | PBE | optimized geometry
# - DOS at the Fermi energy: 4.027 states/eV/f.u.
# - V: 85.34 Å³/f.u.
data_CaPrNiRh
_space_group_name_H-M_alt 'F -4 3 m'
_space_group_IT_number 216
_space_group_name_Hall 'F -4 2 3'
_cell_length_a 6.9888
_cell_length_b 6.9888
_cell_length_c 6.9888
_cell_angle_alpha 90.00
_cell_angle_beta 90.00
_cell_angle_gamma 90.00
loop_
_atom_site_label
_atom_site_type_symbol
_atom_site_fract_x
_atom_site_fract_y
_atom_site_fract_z
Ca1 Ca 0.0000 0.0000 0.0000
Pr1 Pr 0.0000 0.0000 0.5000
Ni1 Ni 0.2500 0.2500 0.2500
Rh1 Rh 0.2500 0.2500 0.7500

Which is more stable than every other structure shown? one is more stable than every other one.